Below is a geometry-optimized RbSm3Te4O12 structure, with properties calculated at the GGA-PBE level.

Cell: 7.9675 7.9675 7.9675 Å, 110.57 110.57 110.57°
With the nearest neighbours (Å) after each atom.
Fractional coordinates of all 20 atoms:
1 Rb 0.0000 0.0000 0.0000  6 O 3.38, 2 Te 3.76
2 Sm 0.5589 0.4411 0.0000  6 O 2.30-2.41
3 Sm 0.4411 0.0000 0.5589  6 O 2.30-2.41
4 Sm 0.0000 0.5589 0.4411  6 O 2.30-2.41
5 Te 0.9407 0.0593 0.5000  3 O 2.01-2.20
6 Te 0.0593 0.5000 0.9407  3 O 2.01-2.20
7 Te 0.5000 0.9407 0.0593  3 O 2.01-2.20
8 Te 0.5000 0.5000 0.5000  3 O 2.12
9 O 0.5000 0.3384 0.6616  1 Te 2.12, 2 Sm 2.33
10 O 0.9056 0.5000 0.0944  1 Te 2.01
11 O 0.0944 0.9056 0.5000  1 Te 2.01
12 O 0.5000 0.0944 0.9056  1 Te 2.01
13 O 0.3240 0.8478 0.2036  2 Te 2.20-2.29, 1 Sm 2.30
14 O 0.2036 0.3240 0.8478  2 Te 2.20-2.29, 1 Sm 2.30
15 O 0.8478 0.2036 0.3240  2 Te 2.20-2.29, 1 Sm 2.30
16 O 0.6760 0.7964 0.1522  2 Te 2.20-2.29, 1 Sm 2.30
17 O 0.1522 0.6760 0.7964  2 Te 2.20-2.29, 1 Sm 2.30
18 O 0.7964 0.1522 0.6760  2 Te 2.20-2.29, 1 Sm 2.30
19 O 0.6616 0.5000 0.3384  1 Te 2.12, 2 Sm 2.33
20 O 0.3384 0.6616 0.5000  1 Te 2.12, 2 Sm 2.33

Summary:
M_tot = 0.2 Bohr magnetons per cell
E_form (uncorrected) = -1.6972 eV per atom
SG = R32, No. 155